GdBeO2: relaxed, GGA-PBE.

Cell and atoms, written as POSCAR:
```
GdBeO2
1.0
3.079 0.000 0.000
1.540 2.667 0.000
1.540 0.889 6.044
Be Gd O
1 1 2
direct
0.500 0.500 0.500 Be
0.000 0.000 0.000 Gd
0.116 0.116 0.651 O
0.884 0.884 0.349 O
```

Calculated values
M_tot: 1.8012 μB/atom
Formation energy (no corrections): -1465 meV per atom
Symmetry: R-3m
Density of states at the Fermi level: 1.91 states/eV/f.u.
Volume: 50 Å³/cell
Crystal system: trigonal

=====

CaP2Pb: relaxed, GGA-PBE.

Cell and atoms, written as POSCAR:
```
CaP2Pb
1.0
4.038 -0.010 0.007
2.023 3.495 0.007
2.004 1.152 6.904
Ca P Pb
1 2 1
direct
0.250 0.250 0.250 Ca
0.004 0.004 0.989 P
0.496 0.496 0.511 P
0.750 0.750 0.750 Pb
```

Calculated values
M_tot: 0.0000 μB/atom
Symmetry: R-3m
Density of states at the Fermi level: 2.51 states/eV/f.u.
Energy relative to the elements: -0.245 eV/atom
Volume: 98 Å³/cell
Crystal system: trigonal

=====

ScInCl2: relaxed, GGA-PBE.

Cell and atoms, written as POSCAR:
```
ScInCl2
1.0
-2.500 2.068 1.515
-0.178 -0.651 -3.517
-5.376 -7.746 1.706
Sc Cl In
1 2 1
direct
0.500 0.500 0.754 Sc
0.000 0.000 0.934 Cl
0.500 0.500 0.307 Cl
0.000 0.000 0.505 In
```

Calculated values
M_tot: 0.0006 μB/atom
Formation energy (no corrections): -942 meV per atom
Symmetry: Cmm2
Density of states at the Fermi level: 2.27 states/eV/f.u.
Energy above the lowest structure with this stoichiometry: 7.565 kcal/mol of atoms
Volume: 107 Å³/cell
Crystal system: orthorhombic

=====

Si2CO: relaxed, GGA-PBE.

Cell and atoms, written as POSCAR:
```
Si2CO
1.0
0.000 2.651 2.651
2.651 0.000 2.651
2.651 2.651 0.000
Si C O
2 1 1
direct
0.250 0.250 0.250 Si
0.750 0.750 0.750 Si
0.000 0.000 0.000 C
0.500 0.500 0.500 O
```

Calculated values
M_tot: 0.0000 μB/atom
Formation energy (no corrections): 778 meV per atom
Symmetry: Fm-3m
Density of states at the Fermi level: 1.39 states/eV/f.u.
Energy above the lowest structure with this stoichiometry: 20.251 kcal/mol of atoms
Volume: 37 Å³/cell
Crystal system: cubic

=====

Na2SrRh: relaxed, GGA-PBE.

Cell and atoms, written as POSCAR:
```
Na2SrRh
1.0
0.140 -4.258 -2.988
-3.796 -3.543 0.340
-3.399 -0.554 -3.901
Sr Rh Na
1 1 2
direct
0.000 0.000 0.000 Sr
0.500 0.500 0.500 Rh
0.250 0.250 0.250 Na
0.750 0.750 0.750 Na
```

Calculated values
M_tot: 0.0000 μB/atom
Symmetry: Fm-3m
Density of states at the Fermi level: 3.49 states/eV/f.u.
Energy relative to the elements: 0.264 eV/atom
Energy above the lowest structure with this stoichiometry: 0.900 kcal/mol of atoms
Volume: 100 Å³/cell
Crystal system: cubic

=====

Tb4DyHo3S8: relaxed, GGA-PBE.

Cell and atoms, written as POSCAR:
```
Tb4DyHo3S8
1.0
7.813 0.000 0.000
0.000 7.822 0.001
-3.907 -3.903 5.528
Tb Dy Ho S
4 1 3 8
direct
0.500 0.000 0.000 Tb
0.500 0.000 0.500 Tb
0.000 0.000 0.000 Tb
0.000 0.000 0.500 Tb
0.000 0.500 0.000 Dy
0.500 0.500 0.000 Ho
0.500 0.500 0.500 Ho
0.000 0.500 0.500 Ho
0.249 0.746 0.997 S
0.249 0.746 0.498 S
0.251 0.254 0.503 S
0.748 0.746 0.997 S
0.252 0.254 0.003 S
0.749 0.746 0.497 S
0.751 0.254 0.502 S
0.751 0.254 0.003 S
```

Calculated values
M_tot: 0.0000 μB/atom
Formation energy (no corrections): -1990 meV per atom
Symmetry: R-3m
Density of states at the Fermi level: 9.11 states/eV/f.u.
Volume: 338 Å³/cell
Crystal system: trigonal

=====

MgPSCl2: relaxed, GGA-PBE.

Cell and atoms, written as POSCAR:
```
MgPSCl2
1.0
-4.722 0.227 0.397
-0.456 -1.731 -4.432
-0.067 -4.417 1.732
P S Mg Cl
1 1 1 2
direct
0.000 0.000 0.000 P
0.000 0.500 0.000 S
0.500 0.500 0.500 Mg
0.000 0.000 0.500 Cl
0.500 0.000 0.000 Cl
```

Calculated values
M_tot: 0.0000 μB/atom
Formation energy (no corrections): -170 meV per atom
Symmetry: P4/mmm
Density of states at the Fermi level: 2.16 states/eV/f.u.
Energy above the lowest structure with this stoichiometry: 0.000 kcal/mol of atoms
Volume: 108 Å³/cell
Crystal system: tetragonal

=====

SrZn2Fe: relaxed, GGA-PBE.

Cell and atoms, written as POSCAR:
```
SrZn2Fe
1.0
-0.188 4.022 -1.602
1.243 0.763 -4.081
-4.787 0.658 -3.630
Fe Sr Zn
1 1 2
direct
0.436 0.436 0.692 Fe
0.247 0.247 0.258 Sr
0.058 0.058 0.826 Zn
0.759 0.759 0.724 Zn
```

Calculated values
M_tot: 0.5728 μB/atom
Symmetry: R3m
Density of states at the Fermi level: 5.12 states/eV/f.u.
Energy relative to the elements: 0.078 eV/atom
Volume: 90 Å³/cell
Crystal system: trigonal

=====

ReSnO2: relaxed, GGA-PBE.

Cell and atoms, written as POSCAR:
```
ReSnO2
1.0
-4.495 1.049 -0.569
0.456 -0.542 -4.596
-3.427 -5.488 -2.045
Re Sn O
2 2 4
direct
0.000 0.000 0.000 Re
0.750 0.250 0.500 Re
0.500 0.500 0.000 Sn
0.250 0.750 0.500 Sn
0.763 0.125 0.250 O
0.987 0.625 0.250 O
0.375 0.237 0.750 O
0.875 0.013 0.750 O
```

Calculated values
M_tot: 0.0000 μB/atom
Formation energy (no corrections): -362 meV per atom
Symmetry: I-42d
Density of states at the Fermi level: 2.56 states/eV/f.u.
Volume: 128 Å³/cell
Crystal system: tetragonal

=====

Li12Zn2Au: relaxed, GGA-PBE.

Cell and atoms, written as POSCAR:
```
Li12Zn2Au
1.0
-0.877 -5.521 -0.966
2.597 3.307 -3.809
16.647 -4.021 7.858
Li Zn Au
24 4 2
direct
0.500 0.500 0.787 Li
0.000 0.000 0.787 Li
0.750 0.750 0.931 Li
0.250 0.750 0.873 Li
0.000 0.000 0.352 Li
0.250 0.750 0.127 Li
0.750 0.250 0.618 Li
0.500 0.500 0.352 Li
0.250 0.250 0.931 Li
0.750 0.750 0.069 Li
0.371 0.129 0.500 Li
0.750 0.250 0.382 Li
0.000 0.000 0.648 Li
0.129 0.371 0.500 Li
0.250 0.250 0.069 Li
0.871 0.629 0.500 Li
0.629 0.871 0.500 Li
0.000 0.000 0.213 Li
0.250 0.750 0.618 Li
0.500 0.500 0.648 Li
0.750 0.250 0.873 Li
0.500 0.500 0.213 Li
0.250 0.750 0.382 Li
0.750 0.250 0.127 Li
0.500 0.000 0.259 Zn
0.000 0.500 0.259 Zn
0.000 0.500 0.741 Zn
0.500 0.000 0.741 Zn
0.500 0.000 0.000 Au
0.000 0.500 0.000 Au
```

Calculated values
M_tot: 0.0000 μB/atom
Symmetry: Pmmm
Density of states at the Fermi level: 6.71 states/eV/f.u.
Energy relative to the elements: -0.086 eV/atom
Volume: 517 Å³/cell
Crystal system: orthorhombic

=====

CdO: relaxed, GGA-PBE.

Cell and atoms, written as POSCAR:
```
CdO
1.0
3.382 0.000 0.000
1.691 2.929 0.000
1.691 0.976 2.762
O Cd
1 1
direct
0.000 0.000 0.000 O
0.500 0.500 0.500 Cd
```

Calculated values
M_tot: 0.0000 μB/atom
Formation energy (no corrections): -1020 meV per atom
Symmetry: Fm-3m
Density of states at the Fermi level: 0.63 states/eV/f.u.
Volume: 27 Å³/cell
Crystal system: cubic

=====

Dy3PtAu2: relaxed, GGA-PBE.

Cell and atoms, written as POSCAR:
```
Dy3PtAu2
1.0
3.551 0.000 0.000
0.000 3.551 0.000
0.000 0.000 10.794
Dy Pt Au
3 1 2
direct
0.000 0.000 0.000 Dy
0.000 0.000 0.658 Dy
0.000 0.000 0.342 Dy
0.500 0.500 0.500 Pt
0.500 0.500 0.832 Au
0.500 0.500 0.168 Au
```

Calculated values
M_tot: 0.0000 μB/atom
Symmetry: P4/mmm
Density of states at the Fermi level: 3.79 states/eV/f.u.
Energy relative to the elements: -0.984 eV/atom
Volume: 136 Å³/cell
Crystal system: tetragonal

=====

CeAlOs2: relaxed, GGA-PBE.

Cell and atoms, written as POSCAR:
```
CeAlOs2
1.0
-2.358 2.044 -0.879
-1.342 -2.328 -1.815
-3.588 -1.934 5.132
Os Al Ce
2 1 1
direct
0.000 0.000 0.785 Os
0.000 0.000 0.215 Os
0.500 0.500 0.000 Al
0.500 0.500 0.500 Ce
```

Calculated values
M_tot: 0.0000 μB/atom
Symmetry: P4/mmm
Density of states at the Fermi level: 3.45 states/eV/f.u.
Energy relative to the elements: -0.087 eV/atom
Energy above the lowest structure with this stoichiometry: 2.088 kcal/mol of atoms
Volume: 69 Å³/cell
Crystal system: tetragonal